MgSb2SI | PBE | optimized geometry

The crystal system is tetragonal. The total moment comes out at 0.0000 μB/atom. The value obtained for the formation energy (no corrections) is 0.4307 eV/atom.

It has space group P4/mmm (No. 123), with a = 5.249 Å, b = 5.249 Å, c = 5.608 Å, α = 90.00°, β = 90.00° and γ = 90.00°. Symmetry generates all atoms from Mg at (0.000, 0.000, 0.000), Sb at (0.000, 0.500, 0.500), S at (0.500, 0.500, 0.500) and I at (0.500, 0.500, 0.000).

MgSc2SI | PBE | optimized geometry

The crystal system is tetragonal. The total moment comes out at 0.1352 μB/atom. The value obtained for the formation energy (no corrections) is 0.5859 eV/atom.

It has space group P4/mmm (No. 123), with a = 5.305 Å, b = 5.305 Å, c = 5.329 Å, α = 90.00°, β = 90.00° and γ = 90.00°. Symmetry generates all atoms from Mg at (0.000, 0.000, 0.000), Sc at (0.000, 0.500, 0.500), S at (0.500, 0.500, 0.000) and I at (0.000, 0.000, 0.500).

Sr2MgS2I2 | PBE | optimized geometry

The crystal system is tetragonal. The total moment comes out at 0.0000 μB/atom. The value obtained for the formation energy (no corrections) is -1.6806 eV/atom.

It has space group I4/mmm (No. 139), with a = 4.945 Å, b = 4.945 Å, c = 17.197 Å, α = 90.00°, β = 90.00° and γ = 90.00°. Symmetry generates all atoms from Sr at (0.000, 0.000, 0.109), Mg at (0.000, 0.000, 0.500), S at (0.000, 0.500, 0.000) and I at (0.000, 0.000, 0.315).

MgTaS2I | PBE | optimized geometry

The crystal system is tetragonal. The total moment comes out at 0.4189 μB/atom. The value obtained for the formation energy (no corrections) is 0.6395 eV/atom.

It has space group P4/mmm (No. 123), with a = 4.716 Å, b = 4.716 Å, c = 5.338 Å, α = 90.00°, β = 90.00° and γ = 90.00°. Symmetry generates all atoms from Mg at (0.000, 0.000, 0.000), Ta at (0.500, 0.500, 0.500), S at (0.000, 0.500, 0.000) and I at (0.000, 0.000, 0.500).

MgTaS2I | PBE | optimized geometry

The crystal system is tetragonal. The total moment comes out at 0.1143 μB/atom. The value obtained for the formation energy (no corrections) is 0.9361 eV/atom.

It has space group P4/mmm (No. 123), with a = 4.565 Å, b = 4.565 Å, c = 5.930 Å, α = 90.00°, β = 90.00° and γ = 90.00°. Symmetry generates all atoms from Mg at (0.000, 0.000, 0.000), Ta at (0.000, 0.000, 0.500), S at (0.000, 0.500, 0.000) and I at (0.500, 0.500, 0.500).

MgTeS2I | PBE | optimized geometry

The crystal system is tetragonal. The total moment comes out at 0.0001 μB/atom. The value obtained for the formation energy (no corrections) is 0.2063 eV/atom.

It has space group P4/mmm (No. 123), with a = 5.011 Å, b = 5.011 Å, c = 5.919 Å, α = 90.00°, β = 90.00° and γ = 90.00°. Symmetry generates all atoms from Mg at (0.000, 0.000, 0.000), Te at (0.000, 0.000, 0.500), S at (0.000, 0.500, 0.500) and I at (0.500, 0.500, 0.000).